Entry 1:
PmSm6Sc3: optimized geometry, PBE.

Properties
ΔH_f (0 K) = 0.1637 eV per atom
SG = Cmc2_1 (36)
theoretical density = 6.3 Mg/m³
polymorph energy (0 for the lowest one) = 0.00 eV per formula unit
spin magnetization = 0.000 μB/atom

Cell lengths 6.2110, 11.4642, 11.4642 Å; angles 130.11, 90.00, 90.00 degrees
Positions (direct):
Sm: 0.7019 0.3345 0.6655
Sm: 0.3464 0.6057 0.9973
Pm: 0.7723 0.7651 0.2349
Sc: 0.8870 0.0662 0.2912
Sm: 0.8464 0.3943 0.0027
Sm: 0.5173 0.2999 0.3484
Sm: 0.5173 0.6516 0.7001
Sc: 0.8870 0.7088 0.9338
Sm: 0.8464 0.9973 0.6057
Sm: 0.3464 0.0027 0.3943
Sm: 0.0173 0.3484 0.2999
Sc: 0.3870 0.9338 0.7088
Sm: 0.3405 0.9526 0.0474
Sc: 0.6692 0.6108 0.3892
Sc: 0.1692 0.3892 0.6108
Sc: 0.3870 0.2912 0.0662
Sm: 0.0173 0.7001 0.6516
Sm: 0.2019 0.6655 0.3345
Sm: 0.8405 0.0474 0.9526
Pm: 0.2723 0.2349 0.7651

---

Entry 2:
Pm6Sm8Sc: optimized geometry, PBE.

Properties
ΔH_f (0 K) = 0.1130 eV per atom
SG = R-3 (148)
theoretical density = 6.9 Mg/m³
polymorph energy (0 for the lowest one) = 0.00 eV per formula unit
spin magnetization = 0.000 μB/atom

Cell lengths 8.7432, 8.7432, 8.7432 Å; angles 63.45, 63.45, 63.45 degrees
Positions (direct):
Sm: 0.4222 0.4222 0.4222
Pm: 0.0998 0.5420 0.2343
Sm: 0.5778 0.5778 0.5778
Pm: 0.4580 0.7657 0.9002
Sm: 0.1123 0.7194 0.7520
Sm: 0.7520 0.1123 0.7194
Sm: 0.2480 0.8877 0.2806
Pm: 0.9002 0.4580 0.7657
Sm: 0.8877 0.2806 0.2480
Pm: 0.5420 0.2343 0.0998
Sm: 0.7194 0.7520 0.1123
Pm: 0.2343 0.0998 0.5420
Pm: 0.7657 0.9002 0.4580
Sm: 0.2806 0.2480 0.8877
Sc: 0.0000 0.0000 0.0000

---

Entry 3:
Pm2Sm6Sc3: optimized geometry, PBE.

Properties
ΔH_f (0 K) = 0.0890 eV per atom
SG = P-1 (2)
theoretical density = 6.4 Mg/m³
spin magnetization = 0.000 μB/atom

Cell lengths 5.9738, 8.3814, 15.2693 Å; angles 44.82, 73.74, 107.75 degrees
Positions (direct):
Sm: 0.5534 0.7777 0.5504
Sm: 0.4466 0.2223 0.4496
Sc: 0.0998 0.0946 0.7319
Sm: 0.2086 0.5776 0.3564
Sm: 0.4064 0.7224 0.8172
Sc: 0.0000 0.0000 0.0000
Pm: 0.2999 0.6419 0.0942
Sm: 0.5936 0.2776 0.1828
Sm: 0.7914 0.4224 0.6436
Sc: 0.9002 0.9054 0.2681
Pm: 0.7001 0.3581 0.9058

---

Entry 4:
Pm5Sm4Sc: optimized geometry, PBE.

Properties
ΔH_f (0 K) = 0.2130 eV per atom
SG = I4mm (107)
theoretical density = 6.7 Mg/m³
polymorph energy (0 for the lowest one) = 0.00 eV per formula unit
spin magnetization = 0.000 μB/atom

Cell lengths 6.0492, 8.0626, 8.0626 Å; angles 81.91, 67.97, 67.97 degrees
Positions (direct):
Pm: 0.6748 0.0000 0.0000
Sc: 0.2119 0.0000 0.0000
Sm: 0.4362 0.6771 0.3230
Pm: 0.1555 0.6284 0.9999
Sm: 0.1133 0.3230 0.3229
Pm: 0.7839 0.3716 0.0001
Sm: 0.4363 0.3229 0.6770
Sm: 0.7591 0.6770 0.6771
Pm: 0.1554 0.0001 0.6284
Pm: 0.7839 0.9999 0.3716

---

Entry 5:
Pm2SmSc2: optimized geometry, PBE.

Properties
ΔH_f (0 K) = 0.1707 eV per atom
SG = Immm (71)
theoretical density = 5.8 Mg/m³
polymorph energy (0 for the lowest one) = 0.34 eV per formula unit
spin magnetization = 0.000 μB/atom

Cell lengths 6.0162, 6.0160, 7.8535 Å; angles 130.74, 130.74, 76.87 degrees
Positions (direct):
Sm: 0.0000 0.0000 0.0000
Pm: 0.7972 0.2028 0.5000
Sc: 0.5001 0.5001 0.8078
Pm: 0.2028 0.7972 0.5000
Sc: 0.4999 0.4999 0.1922

---

Entry 6:
Pm4Sm5Sc: optimized geometry, PBE.

Properties
ΔH_f (0 K) = 0.2107 eV per atom
SG = I4mm (107)
theoretical density = 6.8 Mg/m³
polymorph energy (0 for the lowest one) = 0.00 eV per formula unit
spin magnetization = 0.000 μB/atom

Cell lengths 6.0413, 8.0670, 8.0670 Å; angles 81.94, 68.01, 68.01 degrees
Positions (direct):
Pm: 0.7588 0.6776 0.6775
Sm: 0.1551 0.6284 0.0000
Sm: 0.7836 0.3716 0.0000
Sc: 0.2115 0.0000 0.0000
Sm: 0.7835 0.0000 0.3716
Sm: 0.6762 0.0000 0.0000
Pm: 0.4363 0.3225 0.6776
Pm: 0.4363 0.6775 0.3224
Sm: 0.1552 0.0000 0.6284
Pm: 0.1139 0.3224 0.3225

---

Entry 7:
Pm4Sm11Sc9: optimized geometry, PBE.

Properties
ΔH_f (0 K) = 0.0873 eV per atom
SG = Cmmm (65)
theoretical density = 6.0 Mg/m³
spin magnetization = 0.000 μB/atom

Cell lengths 3.5399, 15.1293, 15.1293 Å; angles 115.51, 90.00, 90.00 degrees
Positions (direct):
Sc: 0.5000 0.9866 0.7987
Sm: 0.0000 0.3757 0.6243
Sc: 0.5000 0.1764 0.6145
Sm: 0.0000 0.2070 0.2070
Sc: 0.5000 0.7987 0.9866
Sm: 0.0000 0.8123 0.1877
Sc: 0.5000 0.2013 0.0134
Sm: 0.0000 0.9659 0.5947
Sm: 0.0000 0.1877 0.8123
Pm: 0.5000 0.5831 0.7580
Sm: 0.0000 0.4053 0.0341
Sm: 0.0000 0.7930 0.7930
Sm: 0.0000 0.0000 0.0000
Pm: 0.5000 0.7580 0.5831
Sc: 0.5000 0.6145 0.1764
Sc: 0.5000 0.8236 0.3855
Sc: 0.5000 0.0134 0.2013
Sm: 0.0000 0.6243 0.3757
Pm: 0.5000 0.2420 0.4169
Sm: 0.0000 0.0341 0.4053
Sm: 0.0000 0.5947 0.9659
Sc: 0.5000 0.5000 0.5000
Pm: 0.5000 0.4169 0.2420
Sc: 0.5000 0.3855 0.8236

---

Entry 8:
Pm2Sm3Sc2: optimized geometry, PBE.

Properties
ΔH_f (0 K) = 0.0485 eV per atom
SG = C2/m (12)
theoretical density = 6.3 Mg/m³
polymorph energy (0 for the lowest one) = 0.00 eV per formula unit
spin magnetization = 0.000 μB/atom

Cell lengths 5.0079, 6.0809, 7.9247 Å; angles 97.67, 90.00, 114.32 degrees
Positions (direct):
Pm: 0.9281 0.8562 0.2762
Sc: 0.2162 0.4325 0.1387
Sm: 0.3555 0.7111 0.5694
Sm: 0.6445 0.2889 0.4306
Pm: 0.0719 0.1438 0.7238
Sm: 0.5000 0.0000 0.0000
Sc: 0.7838 0.5675 0.8613